Record 1
Sr2Cd5Au3 GGA-PBE optimized geometry; total moment = 0.00 μB per cell; DFT formation energy = -440.0 meV per atom; final energy = -44.34 eV per cell; space-group type = Cmc2_1 (36); DOS(E_F) = 10.417 states/eV/cell; excess energy over the best structure of this formula in the dataset = 0 meV/atom
1.0
2.365 -13.723 0.000
2.365 13.723 0.000
0.000 0.000 7.713
Sr Cd Au
4 10 6
direct
0.022 0.978 0.500
0.323 0.677 0.570
0.677 0.323 0.070
0.978 0.022 0.000
0.102 0.898 0.861
0.206 0.794 0.383
0.206 0.794 0.770
0.373 0.627 0.027
0.446 0.554 0.676
0.554 0.446 0.176
0.627 0.373 0.527
0.794 0.206 0.270
0.794 0.206 0.883
0.898 0.102 0.361
0.111 0.889 0.245
0.266 0.734 0.078
0.453 0.547 0.289
0.547 0.453 0.789
0.734 0.266 0.578
0.889 0.111 0.745

***

Record 2
AgAs2PtSe GGA-PBE optimized geometry; total moment = 0.00 μB per cell; final energy = -18.84 eV per cell; space-group type = P4/mmm (123); DOS(E_F) = 2.386 states/eV/cell; excess energy over the best structure of this formula in the dataset = 0 meV/atom
1.0
4.807 0.000 0.000
0.000 4.807 0.000
0.000 0.000 5.386
Ag As Pt Se
1 2 1 1
direct
0.000 0.000 0.000
0.000 0.500 0.500
0.500 0.000 0.500
0.500 0.500 0.500
0.500 0.500 0.000